# Np2Se3

A relaxed structure of Np2Se3 (PBE, Alexandria via LeMat-Bulk).

Unit cell a=11.0778 b=4.0510 c=10.8735 alpha=90.00 beta=90.00 gamma=90.00
With the nearest neighbours (Å) after each atom.
Fractional positions:
Np  0.0084  0.2500  0.1835  7 Se 2.87-2.92
Np  0.1879  0.2500  0.5066  7 Se 2.94-2.98
Np  0.3121  0.7500  0.0066  7 Se 2.94-2.98
Np  0.4916  0.7500  0.6835  7 Se 2.87-2.92
Np  0.5084  0.2500  0.3165  7 Se 2.87-2.92
Np  0.6879  0.2500  0.9934  7 Se 2.94-2.98
Np  0.8121  0.7500  0.4934  7 Se 2.94-2.98
Np  0.9916  0.7500  0.8165  7 Se 2.87-2.92
Se  0.0503  0.7500  0.3695  5 Np 2.90-2.96
Se  0.1253  0.2500  0.9437  5 Np 2.87-2.98
Se  0.2288  0.7500  0.7028  4 Np 2.90-2.98, 1 Se 3.25
Se  0.2712  0.2500  0.2028  4 Np 2.90-2.98, 1 Se 3.25
Se  0.3747  0.7500  0.4437  5 Np 2.87-2.98
Se  0.4497  0.2500  0.8695  5 Np 2.90-2.96
Se  0.5503  0.7500  0.1305  5 Np 2.90-2.96
Se  0.6253  0.2500  0.5563  5 Np 2.87-2.98
Se  0.7288  0.7500  0.7972  4 Np 2.90-2.98, 1 Se 3.25
Se  0.7712  0.2500  0.2972  4 Np 2.90-2.98, 1 Se 3.25
Se  0.8747  0.7500  0.0563  5 Np 2.87-2.98
Se  0.9497  0.2500  0.6305  5 Np 2.90-2.96

- DOS(E_F): 66.654 states/eV per cell
- Symmetry: Pnma (62)
- E_form (uncorrected): -117 kJ per mole of atoms

# Pu3PbN3

A relaxed structure of Pu3PbN3 (PBE, Alexandria via LeMat-Bulk).

Unit cell a=8.1252 b=8.1252 c=4.7605 alpha=90.00 beta=90.00 gamma=120.00
With the nearest neighbours (Å) after each atom.
Fractional positions:
Pu  0.0929  0.3318  0.2500  4 N 2.22-2.41
Pu  0.2389  0.9071  0.2500  4 N 2.22-2.41
Pu  0.3318  0.2389  0.7500  4 N 2.22-2.41
Pu  0.6682  0.7611  0.2500  4 N 2.22-2.41
Pu  0.7611  0.0929  0.7500  4 N 2.22-2.41
Pu  0.9071  0.6682  0.7500  4 N 2.22-2.41
Pb  0.3333  0.6667  0.7500  3 N 2.76
Pb  0.6667  0.3333  0.2500  3 N 2.76
N  0.0749  0.2818  0.7500  4 Pu 2.22-2.41
N  0.2069  0.9251  0.7500  4 Pu 2.22-2.41
N  0.2818  0.2069  0.2500  4 Pu 2.22-2.41
N  0.7182  0.7931  0.7500  4 Pu 2.22-2.41
N  0.7931  0.0749  0.2500  4 Pu 2.22-2.41
N  0.9251  0.7182  0.2500  4 Pu 2.22-2.41

- DOS(E_F): 39.701 states/eV per cell
- Symmetry: P6_3/m (176)
- E_form (uncorrected): -71 kJ per mole of atoms

# SbRh2W

A relaxed structure of SbRh2W (PBE, Alexandria via LeMat-Bulk).

Unit cell a=2.9731 b=3.8893 c=5.6482 alpha=90.00 beta=90.00 gamma=90.00
With the nearest neighbours (Å) after each atom.
Fractional positions:
Sb  0.0000  0.0000  0.0000  2 W 2.82, 8 Rh 2.87, 2 Sb 2.97
Rh  0.5000  0.5000  0.2654  1 Rh 2.65, 4 W 2.78, 4 Sb 2.87
Rh  0.5000  0.5000  0.7346  1 Rh 2.65, 4 W 2.78, 4 Sb 2.87
W  0.0000  0.0000  0.5000  8 Rh 2.78, 2 Sb 2.82, 2 W 2.97

- DOS(E_F): 3.628 states/eV per cell
- Symmetry: Pmmm (47)
- E_form (uncorrected): -3 kJ per mole of atoms

# Y4AlCd3

A relaxed structure of Y4AlCd3 (PBE, Alexandria via LeMat-Bulk).

Unit cell a=3.6982 b=3.6982 c=15.0162 alpha=90.00 beta=90.00 gamma=90.00
With the nearest neighbours (Å) after each atom.
Fractional positions:
Y  0.0000  0.0000  0.1178  4 Al 3.16, 4 Cd 3.24
Y  0.0000  0.0000  0.3722  8 Cd 3.23-3.24
Y  0.0000  0.0000  0.6278  8 Cd 3.23-3.24
Y  0.0000  0.0000  0.8822  4 Al 3.16, 4 Cd 3.24
Al  0.5000  0.5000  0.0000  8 Y 3.16
Cd  0.5000  0.5000  0.2456  8 Y 3.23-3.24
Cd  0.5000  0.5000  0.5000  8 Y 3.24
Cd  0.5000  0.5000  0.7544  8 Y 3.23-3.24

- DOS(E_F): 7.168 states/eV per cell
- Symmetry: P4/mmm (123)
- Calculated formation energy: -371.7 meV per atom

# Ba2YSi

A relaxed structure of Ba2YSi (PBE, Alexandria via LeMat-Bulk).

Unit cell a=6.2952 b=6.2952 c=6.2952 alpha=132.27 beta=132.27 gamma=69.80
With the nearest neighbours (Å) after each atom.
Fractional positions:
Ba  0.0000  0.0000  0.0000  4 Y 3.60, 4 Ba 3.63, 4 Si 3.63
Ba  0.7500  0.2500  0.5000  4 Si 3.60, 4 Ba 3.63, 4 Y 3.63
Y  0.5000  0.5000  0.0000  8 Ba 3.60-3.63, 4 Si 3.63
Si  0.2500  0.7500  0.5000  8 Ba 3.60-3.63, 4 Y 3.63

- DOS(E_F): 5.446 states/eV per cell
- Symmetry: I-4m2 (119)
- E_form (uncorrected): 17 kJ per mole of atoms

# BaMgSc2

A relaxed structure of BaMgSc2 (PBE, Alexandria via LeMat-Bulk).

Unit cell a=11.4113 b=11.4113 c=11.4113 alpha=17.64 beta=17.64 gamma=17.64
With the nearest neighbours (Å) after each atom.
Fractional positions:
Ba  0.0000  0.0000  0.0000  6 Ba 3.50, 6 Sc 3.76
Mg  0.5000  0.5000  0.5000  6 Sc 3.17, 6 Mg 3.50
Sc  0.2393  0.2393  0.2393  3 Mg 3.17, 6 Sc 3.50
Sc  0.7607  0.7607  0.7607  3 Mg 3.17, 6 Sc 3.50

- DOS(E_F): 4.990 states/eV per cell
- Symmetry: R-3m (166)
- Calculated formation energy: 285.8 meV per atom

# Li2PrZrS4

A relaxed structure of Li2PrZrS4 (PBE, Alexandria via LeMat-Bulk).

Unit cell a=6.6181 b=3.8252 c=6.7224 alpha=90.00 beta=109.54 gamma=90.00
With the nearest neighbours (Å) after each atom.
Fractional positions:
Li  0.0000  0.0000  0.0000  6 S 2.61-2.62
Li  0.0000  0.5000  0.5000  6 S 2.77-2.82
Pr  0.5000  0.0000  0.5000  6 S 2.82-2.83
Zr  0.5000  0.5000  0.0000  6 S 2.64-2.66
S  0.2398  0.5000  0.2232  3 Li 2.61-2.82, 1 Zr 2.64, 2 Pr 2.82
S  0.2499  0.0000  0.7686  3 Li 2.62-2.77, 2 Zr 2.66, 1 Pr 2.83
S  0.7501  0.0000  0.2314  3 Li 2.62-2.77, 2 Zr 2.66, 1 Pr 2.83
S  0.7602  0.5000  0.7768  3 Li 2.61-2.82, 1 Zr 2.64, 2 Pr 2.82

- DOS(E_F): 2.947 states/eV per cell
- Symmetry: P2/m (10)
- E_form (uncorrected): -154 kJ per mole of atoms

# InGaHg2Pb

A relaxed structure of InGaHg2Pb (PBE, Alexandria via LeMat-Bulk).

Unit cell a=4.9003 b=4.9003 c=6.8099 alpha=90.00 beta=90.00 gamma=120.00
With the nearest neighbours (Å) after each atom.
Fractional positions:
In  0.0000  0.0000  0.0000  4 Hg 2.89-2.97
Ga  0.6667  0.3333  0.3657  4 Hg 2.87-3.06
Hg  0.0000  0.0000  0.4362  3 Ga 2.87, 1 In 2.97
Hg  0.6667  0.3333  0.9163  3 In 2.89, 1 Ga 3.06
Pb  0.3333  0.6667  0.6685  6 Hg 3.24-3.29, 3 Ga 3.50, 3 In 3.62

- DOS(E_F): 2.054 states/eV per cell
- Symmetry: P3m1 (156)
- Calculated formation energy: 73.2 meV per atom